! Pm2Ag2BiO6 (PBE, relaxed); values from VASP
! Theoretical density = 7.4 g/cm³
! Formation energy (no corrections) = -1.686 eV per atom
! Symmetry = C2/m (12)
&SYSTEM
  ibrav = 0, nat = 11, ntyp = 4
/
ATOMIC_SPECIES
O 16.00 O.upf
Pm 145.00 Pm.upf
Ag 107.87 Ag.upf
Bi 208.98 Bi.upf
CELL_PARAMETERS angstrom
-0.450 6.108 0.679
0.386 -3.460 5.085
5.433 -0.729 -2.614
ATOMIC_POSITIONS crystal
O 0.086 0.421 0.707
O 0.421 0.086 0.707
O 0.223 0.223 0.281
O 0.777 0.777 0.719
O 0.914 0.579 0.293
O 0.579 0.914 0.293
Pm 0.665 0.335 0.500
Pm 0.335 0.665 0.500
Ag 0.825 0.175 0.000
Ag 0.175 0.825 0.000
Bi 0.000 0.000 0.500

***

! Pm2AgBiO6 (PBE, relaxed); values from VASP
! Theoretical density = 7.2 g/cm³
! Formation energy (no corrections) = -1.993 eV per atom
! Symmetry = R3 (146)
&SYSTEM
  ibrav = 0, nat = 10, ntyp = 4
/
ATOMIC_SPECIES
O 16.00 O.upf
Pm 145.00 Pm.upf
Bi 208.98 Bi.upf
Ag 107.87 Ag.upf
CELL_PARAMETERS angstrom
5.959 0.000 0.000
2.980 5.161 0.000
2.980 1.721 5.306
ATOMIC_POSITIONS crystal
O 0.242 0.953 0.220
O 0.953 0.584 0.220
O 0.699 0.153 0.755
O 0.584 0.242 0.220
O 0.153 0.392 0.755
O 0.392 0.699 0.755
Pm 0.019 0.019 0.942
Pm 0.529 0.529 0.413
Bi 0.322 0.322 0.033
Ag 0.767 0.767 0.700

***

! Pr2AgBiO5 (PBE, relaxed); values from VASP
! Theoretical density = 7.3 g/cm³
! Formation energy (no corrections) = -1.840 eV per atom
! Symmetry = P4/mbm (127)
&SYSTEM
  ibrav = 0, nat = 18, ntyp = 4
/
ATOMIC_SPECIES
O 16.00 O.upf
Ag 107.87 Ag.upf
Pr 140.91 Pr.upf
Bi 208.98 Bi.upf
CELL_PARAMETERS angstrom
6.524 0.000 0.000
0.000 6.884 0.000
0.000 0.000 6.884
ATOMIC_POSITIONS crystal
O 0.733 0.645 0.855
O 0.733 0.145 0.645
O 0.267 0.145 0.645
O 0.733 0.355 0.145
O 0.267 0.355 0.145
O 0.500 0.000 0.000
O 0.267 0.645 0.855
O 0.500 0.500 0.500
O 0.733 0.855 0.355
O 0.267 0.855 0.355
Ag 0.000 0.000 0.000
Ag 0.000 0.500 0.500
Pr 0.500 0.325 0.825
Pr 0.500 0.675 0.175
Pr 0.500 0.825 0.675
Pr 0.500 0.175 0.325
Bi 0.000 0.000 0.500
Bi 0.000 0.500 0.000

***

! AgBi2PtO6 (PBE, relaxed); values from VASP
! Theoretical density = 8.9 g/cm³
! Formation energy (no corrections) = -0.766 eV per atom
! Symmetry = R3 (146)
&SYSTEM
  ibrav = 0, nat = 10, ntyp = 4
/
ATOMIC_SPECIES
Bi 208.98 Bi.upf
Pt 195.08 Pt.upf
Ag 107.87 Ag.upf
O 16.00 O.upf
CELL_PARAMETERS angstrom
5.802 0.001 0.000
2.902 5.024 0.000
2.901 1.676 5.218
ATOMIC_POSITIONS crystal
Bi 0.008 0.008 0.976
Bi 0.531 0.531 0.408
Pt 0.330 0.330 0.010
Ag 0.773 0.773 0.681
O 0.153 0.389 0.764
O 0.694 0.152 0.764
O 0.570 0.245 0.216
O 0.389 0.694 0.764
O 0.245 0.969 0.216
O 0.969 0.570 0.216

***

! AgBiPt2O (PBE, relaxed); values from VASP
! Theoretical density = 10.7 g/cm³
! Formation energy (no corrections) = 0.662 eV per atom
! Symmetry = P4/mmm (123)
&SYSTEM
  ibrav = 0, nat = 5, ntyp = 4
/
ATOMIC_SPECIES
Ag 107.87 Ag.upf
O 16.00 O.upf
Pt 195.08 Pt.upf
Bi 208.98 Bi.upf
CELL_PARAMETERS angstrom
-0.035 3.188 4.044
-2.856 -2.483 1.933
3.813 -2.702 2.163
ATOMIC_POSITIONS crystal
Ag 0.500 0.500 0.500
O 0.000 0.500 0.000
Pt 0.000 0.000 0.500
Pt 0.500 0.000 0.000
Bi 0.000 0.000 0.000

***

! PuAgBi2O6 (PBE, relaxed); values from VASP
! Theoretical density = 8.8 g/cm³
! Formation energy (no corrections) = -1.530 eV per atom
! Symmetry = P1 (1)
&SYSTEM
  ibrav = 0, nat = 10, ntyp = 4
/
ATOMIC_SPECIES
O 16.00 O.upf
Bi 208.98 Bi.upf
Pu 244.00 Pu.upf
Ag 107.87 Ag.upf
CELL_PARAMETERS angstrom
-1.610 -5.393 2.119
4.148 -4.270 0.833
1.602 -1.539 5.854
ATOMIC_POSITIONS crystal
O 0.227 0.952 0.230
O 0.687 0.144 0.765
O 0.146 0.404 0.764
O 0.404 0.687 0.764
O 0.953 0.591 0.229
O 0.590 0.227 0.230
Bi 0.528 0.530 0.413
Bi 0.015 0.014 0.957
Pu 0.322 0.321 0.036
Ag 0.791 0.791 0.626

***

! PuAg2BiO6 (PBE, relaxed); values from VASP
! Theoretical density = 7.9 g/cm³
! Formation energy (no corrections) = -1.210 eV per atom
! Symmetry = P4mm (99)
&SYSTEM
  ibrav = 0, nat = 10, ntyp = 4
/
ATOMIC_SPECIES
O 16.00 O.upf
Bi 208.98 Bi.upf
Pu 244.00 Pu.upf
Ag 107.87 Ag.upf
CELL_PARAMETERS angstrom
4.339 0.000 0.000
0.000 6.097 0.000
0.000 0.000 6.097
ATOMIC_POSITIONS crystal
O 0.686 0.231 0.769
O 0.686 0.231 0.231
O 0.139 0.500 0.500
O 0.686 0.769 0.769
O 0.179 0.000 0.000
O 0.686 0.769 0.231
Bi 0.635 0.500 0.500
Pu 0.675 0.000 0.000
Ag 0.036 0.000 0.500
Ag 0.036 0.500 0.000

***

! ReAgBi2O8 (PBE, relaxed); values from VASP
! Theoretical density = 7.8 g/cm³
! Formation energy (no corrections) = -1.043 eV per atom
! Symmetry = P-1 (2)
&SYSTEM
  ibrav = 0, nat = 12, ntyp = 4
/
ATOMIC_SPECIES
O 16.00 O.upf
Bi 208.98 Bi.upf
Ag 107.87 Ag.upf
Re 186.21 Re.upf
CELL_PARAMETERS angstrom
5.021 -0.132 -0.172
-0.107 5.019 0.164
-0.234 0.254 7.087
ATOMIC_POSITIONS crystal
O 0.860 0.141 0.224
O 0.702 0.703 0.500
O 0.789 0.214 0.836
O 0.723 0.726 0.000
O 0.140 0.859 0.776
O 0.277 0.274 0.000
O 0.211 0.786 0.164
O 0.298 0.297 0.500
Bi 0.528 0.472 0.254
Bi 0.472 0.528 0.746
Ag 0.000 0.000 0.500
Re 0.000 0.000 0.000

***

! AgBi2RhO8 (PBE, relaxed); values from VASP
! Theoretical density = 7.7 g/cm³
! Formation energy (no corrections) = -0.614 eV per atom
! Symmetry = P2/m (10)
&SYSTEM
  ibrav = 0, nat = 12, ntyp = 4
/
ATOMIC_SPECIES
O 16.00 O.upf
Bi 208.98 Bi.upf
Ag 107.87 Ag.upf
Rh 102.91 Rh.upf
CELL_PARAMETERS angstrom
-4.203 -1.985 -1.344
2.305 -4.151 -0.855
-1.165 -2.008 6.605
ATOMIC_POSITIONS crystal
O 0.307 0.300 0.500
O 0.822 0.187 0.222
O 0.178 0.813 0.778
O 0.705 0.716 0.000
O 0.693 0.700 0.500
O 0.295 0.284 0.000
O 0.823 0.187 0.778
O 0.177 0.813 0.222
Bi 0.500 0.500 0.247
Bi 0.500 0.500 0.753
Ag 0.000 0.000 0.500
Rh 0.000 0.000 0.000

***

! AgBi2RuO8 (PBE, relaxed); values from VASP
! Theoretical density = 7.5 g/cm³
! Formation energy (no corrections) = -0.723 eV per atom
! Symmetry = P2/m (10)
&SYSTEM
  ibrav = 0, nat = 12, ntyp = 4
/
ATOMIC_SPECIES
O 16.00 O.upf
Bi 208.98 Bi.upf
Ag 107.87 Ag.upf
Ru 101.07 Ru.upf
CELL_PARAMETERS angstrom
4.887 -0.067 -0.003
-0.044 4.865 -0.004
0.003 0.008 7.038
ATOMIC_POSITIONS crystal
O 0.710 0.726 0.000
O 0.693 0.701 0.500
O 0.307 0.299 0.500
O 0.174 0.812 0.211
O 0.826 0.188 0.211
O 0.174 0.812 0.789
O 0.290 0.274 0.000
O 0.826 0.188 0.789
Bi 0.500 0.500 0.751
Bi 0.500 0.500 0.249
Ag 0.000 0.000 0.500
Ru 0.000 0.000 0.000

***

! AgBi2SbO6 (PBE, relaxed); values from VASP
! Theoretical density = 8.0 g/cm³
! Formation energy (no corrections) = -1.116 eV per atom
! Symmetry = P1 (1)
&SYSTEM
  ibrav = 0, nat = 10, ntyp = 4
/
ATOMIC_SPECIES
O 16.00 O.upf
Ag 107.87 Ag.upf
Sb 121.76 Sb.upf
Bi 208.98 Bi.upf
CELL_PARAMETERS angstrom
-1.489 -4.092 4.061
-2.379 -5.183 -1.718
3.330 -5.106 0.447
ATOMIC_POSITIONS crystal
O 0.160 0.409 0.754
O 0.409 0.676 0.754
O 0.991 0.573 0.223
O 0.213 0.991 0.224
O 0.573 0.212 0.223
O 0.677 0.160 0.755
Ag 0.767 0.768 0.696
Sb 0.323 0.323 0.031
Bi 0.531 0.531 0.408
Bi 0.018 0.018 0.947

***

! SiAg2BiO4 (PBE, relaxed); values from VASP
! Theoretical density = 6.8 g/cm³
! Formation energy (no corrections) = -1.196 eV per atom
! Symmetry = I-42m (121)
&SYSTEM
  ibrav = 0, nat = 8, ntyp = 4
/
ATOMIC_SPECIES
O 16.00 O.upf
Si 28.09 Si.upf
Ag 107.87 Ag.upf
Bi 208.98 Bi.upf
CELL_PARAMETERS angstrom
5.039 0.209 0.000
-0.210 5.039 0.000
-2.414 -2.624 4.986
ATOMIC_POSITIONS crystal
O 0.785 0.400 0.186
O 0.400 0.785 0.186
O 0.215 0.215 0.814
O 0.600 0.600 0.814
Si 0.500 0.500 0.000
Ag 0.750 0.250 0.500
Ag 0.250 0.750 0.500
Bi 0.000 0.000 0.000